Entry 1:
The following is a PBE calculation of crystalline Y7Ho3Mg at its relaxed geometry, from Alexandria.

Lattice parameters (Å, degrees): 8.565 7.009 7.009 120.00 90.00 90.00
Positions (direct):
Y (0.119, 0.167, 0.833)
Y (0.119, 0.167, 0.335)
Y (0.114, 0.667, 0.333)
Y (0.448, 0.830, 0.170)
Y (0.448, 0.339, 0.170)
Y (0.448, 0.830, 0.661)
Y (0.119, 0.665, 0.833)
Ho (0.785, 0.502, 0.498)
Ho (0.785, 0.502, 0.003)
Ho (0.785, 0.997, 0.498)
Mg (0.446, 0.333, 0.667)

Summary:
energy relative to the elements: 2.3 eV/f.u.
VASP energy: -58.32 eV for the cell shown
M_tot: 0.000 μB/f.u.

---

Entry 2:
The following is a PBE calculation of crystalline Li2CdNi2 at its relaxed geometry, from Alexandria.

Lattice parameters (Å, degrees): 6.926 6.926 2.860 90.00 90.00 90.00
Positions (direct):
Ni (0.380, 0.880, 0.000)
Ni (0.880, 0.620, 0.000)
Ni (0.620, 0.120, 0.000)
Ni (0.120, 0.380, 0.000)
Li (0.174, 0.674, 0.500)
Li (0.674, 0.826, 0.500)
Li (0.826, 0.326, 0.500)
Li (0.326, 0.174, 0.500)
Cd (0.000, 0.000, 0.000)
Cd (0.500, 0.500, 0.000)

Summary:
energy relative to the elements: 0.3 eV/f.u.
VASP energy: -31.96 eV for the cell shown
excess energy over the best structure of this formula in the dataset: 0.000 eV/atom
M_tot: 0.000 μB/f.u.

---

Entry 3:
The following is a PBE calculation of crystalline Pm3Ni2Pt7 at its relaxed geometry, from Alexandria.

Lattice parameters (Å, degrees): 5.441 5.441 9.139 72.68 72.68 60.00
Positions (direct):
Pm (0.000, 0.000, 0.000)
Pm (0.861, 0.861, 0.416)
Pm (0.139, 0.139, 0.584)
Ni (0.667, 0.667, 0.000)
Ni (0.333, 0.333, 0.000)
Pt (0.500, 0.500, 0.500)
Pt (0.924, 0.419, 0.239)
Pt (0.419, 0.924, 0.239)
Pt (0.419, 0.419, 0.239)
Pt (0.076, 0.581, 0.761)
Pt (0.581, 0.581, 0.761)
Pt (0.581, 0.076, 0.761)

Summary:
energy relative to the elements: -10.4 eV/f.u.
VASP energy: -78.45 eV for the cell shown
M_tot: 0.044 μB/f.u.